1.
Material: Cd2NiAg
Method: DFT, PBE-GGA
State: relaxed

The density of states at the Fermi level comes out at 1.7 states/eV per cell. The space-group type is No. 25. Its crystal system is orthorhombic. The calculated volume is 71 Å³/cell. Its formation energy is 0.095 eV/atom.

Structure (extended XYZ):
```
4
Lattice="3.023 0.000 0.000 0.000 3.793 0.000 0.000 0.000 6.162" Properties=species:S:1:pos:R:3 pbc="T T T"
Ag 1.511 1.897 4.507
Cd 0.000 0.000 6.065
Cd 1.511 1.897 1.752
Ni 0.000 0.000 3.080
```


2.
Material: MgNbReS2
Method: DFT, PBE-GGA
State: relaxed

The density of states at the Fermi level comes out at 4.6 states/eV per cell. The space-group type is No. 123. Its crystal system is tetragonal. The uncorrected formation energy comes out at 1.344 eV/atom. The calculated volume is 98 Å³/cell.

Structure (extended XYZ):
```
5
Lattice="4.487 0.000 0.000 0.000 4.851 0.000 0.000 0.000 4.487" Properties=species:S:1:pos:R:3 pbc="T T T"
Mg 0.000 0.000 0.000
Re 0.000 2.426 0.000
Nb 2.244 2.426 2.244
S 0.000 0.000 2.244
S 2.244 0.000 0.000
```


3.
Material: NaSrGa2Au2
Method: DFT, PBE-GGA
State: relaxed

The density of states at the Fermi level comes out at 2.7 states/eV per cell. The space-group type is No. 164. Its crystal system is trigonal. The calculated volume is 136 Å³/cell. Its formation energy is -0.505 eV/atom.

Structure (extended XYZ):
```
6
Lattice="4.645 0.000 0.000 -2.322 4.023 0.000 0.000 0.000 7.262" Properties=species:S:1:pos:R:3 pbc="T T T"
Na 0.000 0.000 3.631
Sr 0.000 0.000 0.000
Ga 2.322 1.341 5.030
Ga 0.000 2.682 2.232
Au 2.322 1.341 2.149
Au 0.000 2.682 5.113
```


4.
Material: KVICl2
Method: DFT, PBE-GGA
State: relaxed

The density of states at the Fermi level comes out at 2.2 states/eV per cell. The space-group type is No. 123. Its crystal system is tetragonal. The uncorrected formation energy comes out at -1.156 eV/atom. The calculated volume is 144 Å³/cell.

Structure (extended XYZ):
```
5
Lattice="-0.236 -4.939 -0.787 3.926 -0.671 3.033 -3.559 -0.545 4.486" Properties=species:S:1:pos:R:3 pbc="T T T"
I -1.780 -0.272 2.243
K 0.065 -3.077 3.366
Cl 1.963 -0.336 1.517
Cl -0.118 -2.469 -0.394
V 0.000 0.000 0.000
```


5.
Material: HgMo2Pb
Method: DFT, PBE-GGA
State: relaxed

The density of states at the Fermi level comes out at 3.9 states/eV per cell. The space-group type is No. 119. Its crystal system is tetragonal. The calculated volume is 76 Å³/cell. Its formation energy is 0.806 eV/atom.

Structure (extended XYZ):
```
4
Lattice="-0.057 -4.957 1.628 1.763 -0.322 4.900 -3.627 3.007 -2.241" Properties=species:S:1:pos:R:3 pbc="T T T"
Hg -1.415 -2.295 1.325
Mo 0.000 0.000 0.000
Mo -0.505 0.023 2.961
Pb 0.853 -2.639 3.264
```


6.
Material: TbSc4Ag5
Method: DFT, PBE-GGA
State: relaxed

The density of states at the Fermi level comes out at 5.4 states/eV per cell. The space-group type is No. 123. Its crystal system is tetragonal. The calculated volume is 210 Å³/cell. Its formation energy is -0.278 eV/atom.

Structure (extended XYZ):
```
10
Lattice="3.450 0.000 0.000 0.000 3.450 0.000 0.000 0.000 17.657" Properties=species:S:1:pos:R:3 pbc="T T T"
Tb 0.000 0.000 0.000
Sc 0.000 0.000 3.668
Sc 0.000 0.000 7.112
Sc 0.000 0.000 10.546
Sc 0.000 0.000 13.989
Ag 1.725 1.725 2.017
Ag 1.725 1.725 5.387
Ag 1.725 1.725 8.829
Ag 1.725 1.725 12.270
Ag 1.725 1.725 15.641
```


7.
Material: Pm2ErTmSb4
Method: DFT, PBE-GGA
State: relaxed

The density of states at the Fermi level comes out at 1.1 states/eV per cell. The space-group type is No. 10. Its crystal system is monoclinic. The uncorrected formation energy comes out at -1.131 eV/atom. The calculated volume is 244 Å³/cell.

Structure (extended XYZ):
```
8
Lattice="-3.043 -3.177 0.477 3.534 -2.434 6.343 -5.218 5.275 1.848" Properties=species:S:1:pos:R:3 pbc="T T T"
Pm -4.130 1.049 1.162
Pm -0.842 1.421 4.096
Er 0.246 -2.805 3.410
Tm 0.000 0.000 0.000
Sb -1.903 -0.922 2.243
Sb -2.823 0.587 6.425
Sb -3.071 3.392 3.007
Sb 1.387 -0.551 5.184
```


8.
Material: Tb2Pu3Ru4
Method: DFT, PBE-GGA
State: relaxed

The density of states at the Fermi level comes out at 12.1 states/eV per cell. The space-group type is No. 164. Its crystal system is trigonal. The calculated volume is 180 Å³/cell. Its formation energy is -0.050 eV/atom.

Structure (extended XYZ):
```
9
Lattice="4.320 -0.003 0.003 2.162 3.736 0.181 -0.008 -0.534 11.148" Properties=species:S:1:pos:R:3 pbc="T T T"
Tb 2.155 0.829 8.715
Tb 4.320 2.369 2.616
Pu 2.157 0.992 5.337
Pu 0.000 0.000 0.000
Pu 4.318 2.207 5.994
Ru 4.315 1.990 10.518
Ru 2.160 3.538 4.317
Ru 4.315 -0.339 7.014
Ru 2.160 1.208 0.813
```


9.
Material: Al2AsRu
Method: DFT, PBE-GGA
State: relaxed

The density of states at the Fermi level comes out at 2.3 states/eV per cell. The space-group type is No. 166. Its crystal system is trigonal. The calculated volume is 63 Å³/cell. Its formation energy is -0.203 eV/atom.

Structure (extended XYZ):
```
4
Lattice="-2.454 -4.897 6.384 0.226 -6.077 5.811 -0.002 -3.675 7.566" Properties=species:S:1:pos:R:3 pbc="T T T"
Ru -1.673 -10.987 14.821
As -0.558 -3.662 4.940
Al -0.019 -0.122 0.165
Al -1.096 -7.202 9.715
```


10.
Material: Hf3Tc2Au
Method: DFT, PBE-GGA
State: relaxed

The density of states at the Fermi level comes out at 2.9 states/eV per cell. The space-group type is No. 123. Its crystal system is tetragonal. The calculated volume is 109 Å³/cell. Its formation energy is -0.559 eV/atom.

Structure (extended XYZ):
```
6
Lattice="-0.545 -0.712 3.197 3.118 -1.108 0.284 2.993 9.073 2.531" Properties=species:S:1:pos:R:3 pbc="T T T"
Hf 0.000 0.000 0.000
Hf 2.041 6.187 1.726
Hf 0.952 2.886 0.805
Tc 3.776 6.638 3.846
Tc 1.790 0.615 2.166
Au 2.783 3.627 3.006
```


11.
Material: NiAg3I
Method: DFT, PBE-GGA
State: relaxed

The density of states at the Fermi level comes out at 12.3 states/eV per cell. The space-group type is No. 221. Its crystal system is cubic. The uncorrected formation energy comes out at 1.295 eV/atom. The calculated volume is 162 Å³/cell.

Structure (extended XYZ):
```
5
Lattice="5.447 0.000 0.000 0.000 5.447 0.000 0.000 0.000 5.447" Properties=species:S:1:pos:R:3 pbc="T T T"
I 0.000 0.000 0.000
Ni 2.724 2.724 2.724
Ag 0.000 2.724 0.000
Ag 0.000 0.000 2.724
Ag 2.724 0.000 0.000
```


12.
Material: PmCuHg2
Method: DFT, PBE-GGA
State: relaxed

The density of states at the Fermi level comes out at 3.6 states/eV per cell. The space-group type is No. 123. Its crystal system is tetragonal. The calculated volume is 94 Å³/cell. Its formation energy is -0.140 eV/atom.

Structure (extended XYZ):
```
4
Lattice="-4.433 1.565 0.345 -1.462 -4.200 0.269 0.397 0.145 4.436" Properties=species:S:1:pos:R:3 pbc="T T T"
Hg 0.198 0.073 2.218
Hg -0.731 -2.100 0.134
Cu -2.216 0.782 0.173
Pm -2.749 -1.245 2.525
```


- Which of these has the lowest calculated volume?
  Al2AsRu


- Which formula does entry 12 have?
  PmCuHg2